KBeZn2 | GGA-PBE | relaxed

## Properties
SG: C2/m (12)
Magnetization (μB per formula unit): 0.00
DFT formation energy (kJ/mol of formula units): 138
Volume (Å³/f.u.): 90

Lattice parameters (Å, degrees): 5.127 5.127 6.386 106.88 106.88 34.26
Atoms (fractional coordinates):
K: 0.000 0.000 0.000
Be: 0.500 0.500 0.500
Zn: 0.185 0.185 0.595
Zn: 0.815 0.815 0.405